First-principles (PBE with a Hubbard U) data for K2VAsO6 after structural relaxation, as listed in Alexandria.

Values from the calculation:
For the final energy, the calculation gives -5.96 eV per atom. The value obtained for the total magnetization is 0.0 μB per formula unit.

abc: 5.6324 5.6324 27.2676
angles: 90.00 90.00 120.00
Space group R-3m (No. 166, hexagonal axes)
Symmetry-distinct sites (fractional):
K1 0.0000 0.0000 0.1318 [6 per cell]
K2 0.0000 0.0000 0.2808 [6 per cell]
V1 0.0000 0.0000 0.4049 [6 per cell]
As1 0.0000 0.0000 0.0000 [3 per cell]
As2 0.0000 0.0000 0.5000 [3 per cell]
O1 0.0061 0.5031 0.7045 [18 per cell]
O2 0.0449 0.5225 0.1221 [18 per cell]